A plane-wave DFT calculation with PBE was carried out for a geometry-optimized ZnCrNi4 structure.

Values from the calculation:
The calculation puts the total magnetization at 0.000 μB per formula unit. The value obtained for the energy relative to the elements is 122 kJ/mol of formula units. The space group is C2/m (12).

a b c (Å): 4.4823 6.2852 6.5250
angles (deg): 118.79 110.12 90.00
Element x y z (fractional)
Zn (0.7890, 0.7882, 0.5765)
Zn (0.2110, 0.2118, 0.4235)
Cr (0.2822, 0.4999, 0.9998)
Cr (0.7178, 0.5001, 0.0002)
Ni (0.1851, 0.6844, 0.3688)
Ni (0.3802, 0.0798, 0.7599)
Ni (0.0000, 0.1881, 0.0000)
Ni (0.6198, 0.3199, 0.2401)
Ni (0.8149, 0.3156, 0.6312)
Ni (0.6198, 0.9202, 0.2401)
Ni (0.0000, 0.8119, 0.0000)
Ni (0.3802, 0.6801, 0.7599)

=====

A plane-wave DFT calculation with PBE was carried out for a geometry-optimized Cs2PtPb structure.

Values from the calculation:
The calculation puts the total magnetization at 0.000 μB per formula unit. As for the offset from the most stable computed form: 73 meV per atom. The value obtained for the energy relative to the elements is -27 kJ/mol of formula units. The space group is I-42d (122).

a b c (Å): 13.0365 13.0365 9.5815
angles (deg): 47.13 47.13 90.00
Element x y z (fractional)
Pb (0.0000, 0.0000, 0.0000)
Pb (0.7500, 0.2500, 0.5000)
Cs (0.4614, 0.1250, 0.2500)
Cs (0.2886, 0.6250, 0.2500)
Cs (0.3750, 0.5386, 0.7500)
Cs (0.8750, 0.7114, 0.7500)
Pt (0.5000, 0.5000, 0.0000)
Pt (0.2500, 0.7500, 0.5000)

=====

A plane-wave DFT calculation with PBE was carried out for a geometry-optimized Tb9PrSm2 structure.

Values from the calculation:
The calculation puts the total magnetization at 0.000 μB per formula unit. As for the offset from the most stable computed form: 27 meV per atom. The value obtained for the energy relative to the elements is 53 kJ/mol of formula units. The space group is P6/mmm (191).

a b c (Å): 3.5282 11.3377 11.3377
angles (deg): 120.00 90.00 90.00
Element x y z (fractional)
Tb (0.0000, 0.0000, 0.5000)
Tb (0.0000, 0.5000, 0.5000)
Tb (0.0000, 0.5000, 0.0000)
Tb (0.5000, 0.3525, 0.1762)
Tb (0.5000, 0.1762, 0.8238)
Tb (0.5000, 0.1762, 0.3525)
Tb (0.5000, 0.8238, 0.6475)
Tb (0.5000, 0.8238, 0.1762)
Tb (0.5000, 0.6475, 0.8238)
Pr (0.0000, 0.0000, 0.0000)
Sm (0.0000, 0.3333, 0.6667)
Sm (0.0000, 0.6667, 0.3333)

=====

A plane-wave DFT calculation with PBE was carried out for a geometry-optimized MnCu2Pb structure.

Values from the calculation:
The calculation puts the total magnetization at 4.016 μB per formula unit. The value obtained for the energy relative to the elements is 116 kJ/mol of formula units. The space group is P4mm (99).

a b c (Å): 3.2100 3.2100 6.6162
angles (deg): 90.00 90.00 90.00
Site moments in Bohr magnetons follow the coordinates.
Element x y z (fractional)
Cu (0.0000, 0.0000, 0.0580)  0.02
Cu (0.5000, 0.5000, 0.2398)  0.11
Mn (0.0000, 0.0000, 0.4429)  3.76
Pb (0.5000, 0.5000, 0.7594)  -0.02

=====

A plane-wave DFT calculation with PBE was carried out for a geometry-optimized ZnHIr structure.

Values from the calculation:
The calculation puts the total magnetization at 0.000 μB per formula unit. As for the offset from the most stable computed form: 157 meV per atom. The space group is C2/m (12).

a b c (Å): 4.2554 4.2004 6.5025
angles (deg): 53.60 70.90 59.57
Element x y z (fractional)
Zn (0.8325, 0.9186, 0.4163)
Zn (0.1675, 0.0814, 0.5837)
H (0.6562, 0.6974, 0.9903)
H (0.3438, 0.3026, 0.0097)
Ir (0.5042, 0.2470, 0.7446)
Ir (0.4958, 0.7530, 0.2554)